# 1
## NiRuCl4 (PBE)

Data for a relaxed NiRuCl4 crystal.

Unit cell a=5.6802 b=5.6802 c=5.6802 alpha=60.00 beta=60.00 gamma=60.00
Sites, in units of the cell vectors:
Cl1 0.3749 0.3749 0.8753
Cl2 0.8753 0.3749 0.3749
Cl3 0.3749 0.3749 0.3749
Cl4 0.3749 0.8753 0.3749
Ni1 0.7500 0.7500 0.7500
Ru1 0.0000 0.0000 0.0000

Calculated values
- DOS(E_F): 1.611 states/eV/atom
- E_tot: -2.34 eV per atom
- M_tot: 2.6 μB per formula unit


# 2
## Nd5DyIn6 (PBE)

Data for a relaxed Nd5DyIn6 crystal.

Unit cell a=5.4547 b=9.4407 c=9.4477 alpha=60.02 beta=73.19 gamma=54.63
Sites, in units of the cell vectors:
Nd1 0.0000 0.6647 0.6705
Nd2 0.5000 0.1710 0.6581
Nd3 0.5000 0.8290 0.3419
Nd4 0.0000 0.3353 0.3295
Nd5 0.5000 0.5000 0.0000
In1 0.7559 0.0803 0.3276
In2 0.2441 0.9197 0.6724
In3 0.7384 0.7615 0.0000
In4 0.7559 0.4079 0.6724
In5 0.2616 0.2385 0.0000
In6 0.2441 0.5921 0.3276
Dy1 0.0000 0.0000 0.0000

Calculated values
- DOS(E_F): 0.484 states/eV/atom
- ΔE_f: -0.4894 eV/atom
- M_tot: 0.0 μB per formula unit


# 3
## CaYMgBr2 (PBE)

Data for a relaxed CaYMgBr2 crystal.

Unit cell a=5.1876 b=7.1397 c=5.1876 alpha=90.00 beta=90.00 gamma=90.00
Sites, in units of the cell vectors:
Y1 0.5000 0.5000 0.5000
Mg1 0.0000 0.0000 0.0000
Ca1 0.0000 0.5000 0.0000
Br1 0.0000 0.0000 0.5000
Br2 0.5000 0.0000 0.0000

Calculated values
- DOS(E_F): 1.024 states/eV/atom
- E_tot: -2.79 eV per atom
- M_tot: 0.5 μB per formula unit


# 4
## Y2CuGeO (PBE)

Data for a relaxed Y2CuGeO crystal.

Unit cell a=4.7120 b=4.2773 c=4.7120 alpha=90.00 beta=90.00 gamma=90.00
Sites, in units of the cell vectors:
Cu1 0.5000 0.5000 0.5000
Y1 0.0000 0.0000 0.5000
Y2 0.5000 0.0000 0.0000
O1 0.0000 0.0000 0.0000
Ge1 0.0000 0.5000 0.0000

Calculated values
- DOS(E_F): 0.922 states/eV/atom
- E_tot: -6.30 eV per atom
- M_tot: 0.0 μB per formula unit


# 5
## TlCoCl5 (PBE)

Data for a relaxed TlCoCl5 crystal.

Unit cell a=7.0489 b=7.0490 c=10.0677 alpha=111.28 beta=111.30 gamma=87.52
Sites, in units of the cell vectors:
Cl1 0.7490 0.7018 0.0508
Cl2 0.8465 0.2727 0.1681
Cl3 0.2510 0.2982 0.9492
Cl4 0.4135 0.0861 0.2498
Cl5 0.7725 0.3466 0.6679
Cl6 0.5865 0.9139 0.7502
Cl7 0.2275 0.6534 0.3321
Cl8 0.2017 0.2487 0.5509
Cl9 0.7983 0.7513 0.4491
Cl10 0.1535 0.7273 0.8319
Co1 0.8902 0.6099 0.2500
Co2 0.1098 0.3901 0.7500
Tl1 0.5000 0.0000 0.0000
Tl2 0.5000 0.0000 0.5000

Calculated values
- DOS(E_F): 0.772 states/eV/atom
- E_tot: -3.27 eV per atom
- M_tot: 3.0 μB per formula unit


# 6
## BaTaV2Ga (PBE)

Data for a relaxed BaTaV2Ga crystal.

Unit cell a=4.8568 b=5.6095 c=4.8568 alpha=90.00 beta=90.00 gamma=90.00
Sites, in units of the cell vectors:
Ba1 0.0000 0.5000 0.0000
V1 0.0000 0.0000 0.5000
V2 0.5000 0.0000 0.0000
Ta1 0.5000 0.5000 0.5000
Ga1 0.0000 0.0000 0.0000

Calculated values
- DOS(E_F): 1.801 states/eV/atom
- ΔE_f: 1.6620 eV/atom
- M_tot: 3.3 μB per formula unit


- Among the records above, which one has the lowest DOS(E_F)?
  Nd5DyIn6